The following is a DFT calculation (PBE-GGA) of a relaxed structure of TaCdIr.

Computed properties:
DFT total energy ... -6.73 eV per atom
ρ ... 13.1 g/cm3
Offset from the most stable computed form ... 1.782 eV per formula unit
M_tot ... 0.000 μB per atom
V ... 20.5 A^3/atom

Geometry as CIF:
```
data_TaCdIr
_cell_length_a 4.432
_cell_length_b 4.432
_cell_length_c 4.432
_cell_angle_alpha 60.00
_cell_angle_beta 60.00
_cell_angle_gamma 60.00
_space_group_name_H-M_alt 'P 1'
_space_group_IT_number 1
loop_
_space_group_symop_operation_xyz
'x,y,z'
loop_
_atom_site_label
_atom_site_type_symbol
_atom_site_fract_x
_atom_site_fract_y
_atom_site_fract_z
Ir1 Ir 0.500 0.500 0.500
Cd1 Cd 0.000 0.000 0.000
Ta1 Ta 0.750 0.750 0.750
```

***

The following is a DFT calculation (PBE-GGA) of a relaxed structure of SrVCu2.

Computed properties:
DFT total energy ... -4.16 eV per atom
ρ ... 4.4 g/cm3
Offset from the most stable computed form ... 0.293 eV per formula unit
M_tot ... 0.863 μB per atom
V ... 25.0 A^3/atom

Geometry as CIF:
```
data_SrVCu2
_cell_length_a 4.800
_cell_length_b 4.800
_cell_length_c 9.306
_cell_angle_alpha 75.05
_cell_angle_beta 75.05
_cell_angle_gamma 90.00
_space_group_name_H-M_alt 'P 1'
_space_group_IT_number 1
loop_
_space_group_symop_operation_xyz
'x,y,z'
loop_
_atom_site_label
_atom_site_type_symbol
_atom_site_fract_x
_atom_site_fract_y
_atom_site_fract_z
Cu1 Cu 0.375 0.625 0.750
Cu2 Cu 0.375 0.625 0.250
Cu3 Cu 0.875 0.625 0.750
Cu4 Cu 0.375 0.125 0.250
V1 V 0.500 0.500 0.000
V2 V 0.250 0.750 0.500
Sr1 Sr 0.000 0.000 0.000
Sr2 Sr 0.750 0.250 0.500
```

***

The following is a DFT calculation (PBE-GGA) of a relaxed structure of CaTb3Ce2As6.

Computed properties:
DFT total energy ... -6.07 eV per atom
ρ ... 6.7 g/cm3
M_tot ... 0.070 μB per atom
V ... 25.9 A^3/atom

Geometry as CIF:
```
data_CaTb3Ce2As6
_cell_length_a 4.186
_cell_length_b 8.380
_cell_length_c 9.336
_cell_angle_alpha 103.16
_cell_angle_beta 102.95
_cell_angle_gamma 90.00
_space_group_name_H-M_alt 'P 1'
_space_group_IT_number 1
loop_
_space_group_symop_operation_xyz
'x,y,z'
loop_
_atom_site_label
_atom_site_type_symbol
_atom_site_fract_x
_atom_site_fract_y
_atom_site_fract_z
Tb1 Tb 0.165 0.834 0.329
Tb2 Tb 0.835 0.166 0.671
Tb3 Tb 0.500 0.500 0.000
As1 As 0.333 0.416 0.666
As2 As 0.669 0.084 0.339
As3 As 0.667 0.584 0.334
As4 As 0.999 0.743 0.999
As5 As 0.001 0.257 0.001
As6 As 0.331 0.916 0.661
Ce1 Ce 0.836 0.671 0.671
Ce2 Ce 0.164 0.329 0.329
Ca1 Ca 0.500 0.000 0.000
```

***

The following is a DFT calculation (PBE-GGA) of a relaxed structure of CrRh3.

Computed properties:
DFT total energy ... -7.97 eV per atom
ρ ... 10.9 g/cm3
M_tot ... 0.237 μB per atom
V ... 13.7 A^3/atom

Geometry as CIF:
```
data_CrRh3
_cell_length_a 5.080
_cell_length_b 5.080
_cell_length_c 5.080
_cell_angle_alpha 148.98
_cell_angle_beta 125.06
_cell_angle_gamma 64.45
_space_group_name_H-M_alt 'P 1'
_space_group_IT_number 1
loop_
_space_group_symop_operation_xyz
'x,y,z'
loop_
_atom_site_label
_atom_site_type_symbol
_atom_site_fract_x
_atom_site_fract_y
_atom_site_fract_z
Rh1 Rh 0.484 0.500 0.984
Rh2 Rh 0.080 0.742 0.338
Rh3 Rh 0.596 0.258 0.338
Cr1 Cr 0.007 0.000 0.007
```

***

- Which of these has the highest V?
  CaTb3Ce2As6

***

- M_tot of number 1 (TaCdIr)?
  0.000 μB per atom

***

- Which value of V does entry 2 give?
  25.0 A^3/atom